# AlCu2Sb

A relaxed structure of AlCu2Sb (PBE, Alexandria).

Magnetic moment = 0.00 μB per cell
Polymorph energy (0 for the lowest one) = 0.476 eV per formula unit

a b c (Å): 4.141 4.141 3.867
angles (deg): 90.00 90.00 90.00
Fractional coordinates of all 4 atoms:
1 Al 0.000 0.000 0.000
2 Cu 0.000 0.500 0.500
3 Cu 0.500 0.000 0.500
4 Sb 0.500 0.500 0.000